Entry 1:
Here is crystalline Mn2Ni2Au at its relaxed geometry from the Alexandria database. Energies are from PBE.

It has space group P4/mbm (No. 127), with a = 6.9493 Å, b = 6.9493 Å, c = 2.6130 Å, α = 90.00°, β = 90.00° and γ = 90.00°. The inequivalent atoms are Mn at (0.1025, 0.3975, 0.0000), Ni at (0.1854, 0.6854, 0.5000) and Au at (0.0000, 0.0000, 0.0000).

=====

Entry 2:
Here is crystalline MnNi2Au at its relaxed geometry from the Alexandria database. Energies are from PBE.

It has space group Pmmm (No. 47), with a = 2.7983 Å, b = 3.4050 Å, c = 5.5952 Å, α = 90.00°, β = 90.00° and γ = 90.00°. The inequivalent atoms are Mn at (0.0000, 0.0000, 0.0000), Ni at (0.5000, 0.5000, 0.2257) and Au at (0.0000, 0.0000, 0.5000).

=====

Entry 3:
Here is crystalline Mn3NiAu at its relaxed geometry from the Alexandria database. Energies are from PBE.

It has space group Pm-3m (No. 221), with a = 4.2059 Å, b = 4.2059 Å, c = 4.2059 Å, α = 90.00°, β = 90.00° and γ = 90.00°. The inequivalent atoms are Mn at (0.0000, 0.0000, 0.5000), Ni at (0.0000, 0.0000, 0.0000) and Au at (0.5000, 0.5000, 0.5000).

=====

Entry 4:
Here is crystalline MnNi2Au at its relaxed geometry from the Alexandria database. Energies are from PBE.

It has space group Pm (No. 6), with a = 2.7904 Å, b = 3.5411 Å, c = 5.4600 Å, α = 90.00°, β = 90.14° and γ = 90.00°. The inequivalent atoms are Mn at (0.0000, 0.0000, 0.0000), Ni at (0.4997, 0.5000, 0.2270), Ni at (0.9989, 0.0000, 0.4453) and Au at (0.4995, 0.5000, 0.7142).

=====

Entry 5:
Here is crystalline MnNi2Au at its relaxed geometry from the Alexandria database. Energies are from PBE.

It has space group C2/m (No. 12), with a = 8.5898 Å, b = 2.7627 Å, c = 4.6710 Å, α = 90.00°, β = 101.78° and γ = 90.00°. The inequivalent atoms are Mn at (0.0000, 0.0000, 0.0000), Ni at (0.2441, 0.5000, 0.2302) and Au at (0.0000, 0.5000, 0.5000).

=====

Entry 6:
Here is crystalline MnNiAu2 at its relaxed geometry from the Alexandria database. Energies are from PBE.

It has space group Imm2 (No. 44), with a = 3.8998 Å, b = 3.9110 Å, c = 8.0329 Å, α = 90.00°, β = 90.00° and γ = 90.00°. The inequivalent atoms are Mn at (0.0000, 0.0000, 0.0000), Ni at (0.0000, 0.5000, 0.7489), Au at (0.0000, 0.0000, 0.4994) and Au at (0.0000, 0.5000, 0.2498).

=====

Entry 7:
Here is crystalline MnNiAu2 at its relaxed geometry from the Alexandria database. Energies are from PBE.

It has space group Fm-3m (No. 225), with a = 6.2764 Å, b = 6.2764 Å, c = 6.2764 Å, α = 90.00°, β = 90.00° and γ = 90.00°. The inequivalent atoms are Mn at (0.0000, 0.0000, 0.0000), Ni at (0.0000, 0.0000, 0.5000) and Au at (0.2500, 0.2500, 0.2500).

=====

Entry 8:
Here is crystalline MnNiAu2 at its relaxed geometry from the Alexandria database. Energies are from PBE.

It has space group C2/m (No. 12), with a = 9.0563 Å, b = 3.0057 Å, c = 4.7248 Å, α = 90.00°, β = 103.46° and γ = 90.00°. The inequivalent atoms are Mn at (0.0000, 0.0000, 0.0000), Ni at (0.0000, 0.5000, 0.5000) and Au at (0.2459, 0.0000, 0.7454).

=====

Entry 9:
Here is crystalline MnNiAu2 at its relaxed geometry from the Alexandria database. Energies are from PBE.

It has space group R3m (No. 160, hexagonal axes), with a = 2.8916 Å, b = 2.8916 Å, c = 26.0729 Å, α = 90.00°, β = 90.00° and γ = 120.00°. The inequivalent atoms are Mn at (0.0000, 0.0000, 0.0000), Ni at (0.0000, 0.0000, 0.7363), Au at (0.0000, 0.0000, 0.2487) and Au at (0.0000, 0.0000, 0.4860).

=====

Entry 10:
Here is crystalline MnNiAu2 at its relaxed geometry from the Alexandria database. Energies are from PBE.

It has space group P2/m (No. 10), with a = 2.9976 Å, b = 3.6190 Å, c = 5.6841 Å, α = 90.00°, β = 90.07° and γ = 90.00°. The inequivalent atoms are Mn at (0.0000, 0.0000, 0.0000), Ni at (0.0000, 0.0000, 0.5000) and Au at (0.5004, 0.5000, 0.2550).

=====

Entry 11:
Here is crystalline MnNi2Au at its relaxed geometry from the Alexandria database. Energies are from PBE.

It has space group R-3m (No. 166, hexagonal axes), with a = 2.7377 Å, b = 2.7377 Å, c = 25.2556 Å, α = 90.00°, β = 90.00° and γ = 120.00°. The inequivalent atoms are Mn at (0.0000, 0.0000, 0.0000), Ni at (0.0000, 0.0000, 0.2571) and Au at (0.0000, 0.0000, 0.5000).

=====

Entry 12:
Here is crystalline Mn2Ni3Au2 at its relaxed geometry from the Alexandria database. Energies are from PBE.

It has space group C2/m (No. 12), with a = 7.1740 Å, b = 4.1654 Å, c = 7.1687 Å, α = 90.00°, β = 109.29° and γ = 90.00°. The inequivalent atoms are Mn at (0.1173, 0.0000, 0.3531), Ni at (0.0000, 0.5000, 0.5000), Ni at (0.2390, 0.0000, 0.7140) and Au at (0.1298, 0.5000, 0.8865).

=====

Entry 13:
Here is crystalline MnNi2Au at its relaxed geometry from the Alexandria database. Energies are from PBE.

It has space group I4/mmm (No. 139), with a = 3.8215 Å, b = 3.8215 Å, c = 7.2961 Å, α = 90.00°, β = 90.00° and γ = 90.00°. The inequivalent atoms are Mn at (0.0000, 0.0000, 0.0000), Ni at (0.0000, 0.5000, 0.2500) and Au at (0.0000, 0.0000, 0.5000).

=====

Entry 14:
Here is crystalline MnNiAu2 at its relaxed geometry from the Alexandria database. Energies are from PBE.

It has space group R-3m (No. 166, hexagonal axes), with a = 2.9099 Å, b = 2.9099 Å, c = 25.7764 Å, α = 90.00°, β = 90.00° and γ = 120.00°. The inequivalent atoms are Mn at (0.0000, 0.0000, 0.0000), Ni at (0.0000, 0.0000, 0.5000) and Au at (0.0000, 0.0000, 0.2485).

=====

Entry 15:
Here is crystalline MnNiAu2 at its relaxed geometry from the Alexandria database. Energies are from PBE.

It has space group Cm (No. 8), with a = 9.4194 Å, b = 2.9565 Å, c = 4.6414 Å, α = 90.00°, β = 107.44° and γ = 90.00°. The inequivalent atoms are Mn at (0.0000, 0.0000, 0.0000), Ni at (0.2171, 0.5000, 0.2574), Au at (0.2419, 0.0000, 0.7753) and Au at (0.4683, 0.0000, 0.4709).

=====

Entry 16:
Here is crystalline MnNiAu2 at its relaxed geometry from the Alexandria database. Energies are from PBE.

It has space group Fmmm (No. 69), with a = 5.6297 Å, b = 5.6515 Å, c = 7.7245 Å, α = 90.00°, β = 90.00° and γ = 90.00°. The inequivalent atoms are Mn at (0.0000, 0.0000, 0.0000), Ni at (0.0000, 0.0000, 0.5000) and Au at (0.2500, 0.2500, 0.2500).

=====

Entry 17:
Here is crystalline MnNiAu2 at its relaxed geometry from the Alexandria database. Energies are from PBE.

It has space group I-42d (No. 122), with a = 7.1413 Å, b = 7.1413 Å, c = 5.3642 Å, α = 90.00°, β = 90.00° and γ = 90.00°. The inequivalent atoms are Mn at (0.0000, 0.0000, 0.0000), Ni at (0.0000, 0.0000, 0.5000) and Au at (0.2356, 0.7500, 0.6250).

=====

Entry 18:
Here is crystalline Mn3NiAu at its relaxed geometry from the Alexandria database. Energies are from PBE.

It has space group Pm-3m (No. 221), with a = 4.8785 Å, b = 4.8785 Å, c = 4.8785 Å, α = 90.00°, β = 90.00° and γ = 90.00°. The inequivalent atoms are Mn at (0.0000, 0.0000, 0.5000), Ni at (0.5000, 0.5000, 0.5000) and Au at (0.0000, 0.0000, 0.0000).

=====

Entry 19:
Here is crystalline MnNi2Au at its relaxed geometry from the Alexandria database. Energies are from PBE.

It has space group Cm (No. 8), with a = 8.8172 Å, b = 2.8520 Å, c = 4.4317 Å, α = 90.00°, β = 104.10° and γ = 90.00°. The inequivalent atoms are Mn at (0.0000, 0.0000, 0.0000), Ni at (0.2451, 0.5000, 0.2280), Ni at (0.4845, 0.0000, 0.4623) and Au at (0.2397, 0.0000, 0.7181).

=====

no.,formation energy from the elements (eV/atom),ρ (Mg/m³),DOS(E_F) (states/eV/atom)
1,0.292,11.16,1.38
2,-0.008,11.50,0.87
3,1.412,9.38,2.03
4,0.020,11.37,1.24
5,0.059,11.30,0.90
6,-0.041,13.76,0.47
7,0.009,13.64,0.63
8,0.080,13.48,0.56
9,0.113,13.39,0.67
10,0.000,13.67,0.42
11,0.114,11.22,0.54
12,0.035,11.17,0.54
13,-0.024,11.51,1.02
14,0.181,13.38,0.86
15,0.006,13.67,0.48
16,-0.021,13.72,0.44
17,0.277,12.32,0.38
18,1.286,6.01,0.85
19,0.048,11.35,1.02